Material: K5Zn
Method: DFT, PBE
State: relaxed

POSCAR file:
```
K5Zn
1.0
2.877 -9.316 0.000
2.877 9.316 0.000
0.000 0.000 6.498
K Zn
5 1
Direct
0.000 0.000 0.000
0.143 0.857 0.500
0.340 0.660 0.000
0.660 0.340 0.000
0.857 0.143 0.500
0.500 0.500 0.500
```

Summary:
N(E_F) = 0.665 states/eV per atom
magnetic moment = 0.0 μB/f.u.
energy above the lowest structure with this stoichiometry = 0.034 eV/atom
energy of formation = 105 meV per atom